1.
An optimized crystal structure of Pr2NdAs3, computed with PBE.

Unit cell a=7.438 b=7.438 c=7.438 alpha=146.38 beta=131.81 gamma=60.04
Element x y z (fractional)
1 Pr 0.167 0.167 0.000
2 Pr 0.833 0.833 0.000
3 Nd 0.500 0.500 0.000
4 As 0.000 0.500 0.500
5 As 0.334 0.834 0.500
6 As 0.666 0.166 0.500

The calculation puts the formation energy at -1.51 eV/atom.

2.
An optimized crystal structure of Pr4NdAs5, computed with PBE.

Unit cell a=11.376 b=11.376 c=11.376 alpha=158.19 beta=149.01 gamma=38.22
Element x y z (fractional)
1 Pr 0.100 0.100 0.000
2 Pr 0.300 0.300 0.000
3 Pr 0.700 0.700 0.000
4 Pr 0.900 0.900 0.000
5 Nd 0.500 0.500 0.000
6 As 0.000 0.500 0.500
7 As 0.200 0.700 0.500
8 As 0.401 0.901 0.500
9 As 0.599 0.099 0.500
10 As 0.800 0.300 0.500

The calculation puts the formation energy at -1.50 eV/atom.

3.
An optimized crystal structure of Pr2NdPuAs4, computed with PBE.

Unit cell a=7.365 b=4.262 c=7.366 alpha=90.00 beta=109.46 gamma=90.00
Element x y z (fractional)
1 Pr 0.000 0.000 0.000
2 Pr 0.500 0.500 0.000
3 Nd 0.000 0.500 0.500
4 Pu 0.500 0.000 0.500
5 As 0.253 0.000 0.744
6 As 0.259 0.500 0.260
7 As 0.741 0.500 0.740
8 As 0.747 0.000 0.256

The calculation puts the formation energy at -1.37 eV/atom.

4.
An optimized crystal structure of Pr2Nd3PuAs6, computed with PBE.

Unit cell a=9.523 b=9.523 c=8.525 alpha=102.93 beta=102.93 gamma=25.89
Element x y z (fractional)
1 Pr 0.166 0.166 0.334
2 Pr 0.834 0.834 0.666
3 Nd 0.168 0.168 0.833
4 Nd 0.500 0.500 0.500
5 Nd 0.832 0.832 0.167
6 Pu 0.500 0.500 0.000
7 As 0.001 0.001 0.759
8 As 0.334 0.334 0.415
9 As 0.336 0.336 0.920
10 As 0.664 0.664 0.080
11 As 0.666 0.666 0.585
12 As 0.999 0.999 0.241

The calculation puts the formation energy at -1.42 eV/atom.

5.
An optimized crystal structure of PrNdAs2Rh5, computed with PBE.

Unit cell a=4.297 b=4.297 c=8.972 alpha=90.00 beta=90.00 gamma=90.00
Element x y z (fractional)
1 Pr 0.000 0.000 0.000
2 Nd 0.000 0.000 0.500
3 As 0.500 0.500 0.349
4 As 0.500 0.500 0.651
5 Rh 0.000 0.500 0.234
6 Rh 0.000 0.500 0.766
7 Rh 0.500 0.000 0.234
8 Rh 0.500 0.000 0.766
9 Rh 0.500 0.500 0.000

The calculation puts the formation energy at -0.73 eV/atom.

6.
An optimized crystal structure of PrNdAsS, computed with PBE.

Unit cell a=7.240 b=7.240 c=7.240 alpha=33.77 beta=33.77 gamma=33.77
Element x y z (fractional)
1 Pr 0.000 0.000 0.000
2 Nd 0.501 0.501 0.501
3 As 0.751 0.751 0.751
4 S 0.250 0.250 0.250

As for the uncorrected formation energy: -1.791 eV/atom.